# 1
AcAg2SbS4: relaxed, GGA-PBE.

Results
The uncorrected formation energy comes out at -0.658 eV per atom.

a = 7.010 Å, b = 7.125 Å, c = 7.775 Å
α = 90.00°, β = 90.00°, γ = 90.00°
Space group I222 (No. 23)
Symmetry-distinct sites (fractional):
Ac 0.000 0.000 0.000
Ag 0.000 0.500 0.190
Sb 0.000 0.000 0.500
S 0.225 0.219 0.310

---

# 2
Na3OsCl7: relaxed, GGA-PBE.

Results
The uncorrected formation energy comes out at -1.118 eV per atom.

a = 10.447 Å, b = 9.180 Å, c = 6.743 Å
α = 90.00°, β = 104.52°, γ = 90.00°
Space group Cm (No. 8)
Symmetry-distinct sites (fractional):
Na 0.000 0.000 0.000
Na 0.416 0.219 0.396
Os 0.416 0.000 0.890
Cl 0.051 0.500 0.657
Cl 0.053 0.319 0.085
Cl 0.281 0.000 0.130
Cl 0.283 0.183 0.705
Cl 0.438 0.500 0.360

---

# 3
YRe2Sb: relaxed, GGA-PBE.

Results
The uncorrected formation energy comes out at 0.696 eV per atom.

a = 3.2082 Å, b = 3.2082 Å, c = 26.2945 Å
α = 90.00°, β = 90.00°, γ = 120.00°
Space group R-3m (No. 166, hexagonal axes)
Symmetry-distinct sites (fractional):
Y 0.0000 0.0000 0.0000
Re 0.0000 0.0000 0.2437
Sb 0.0000 0.0000 0.5000

---

# 4
TaTeP2S: relaxed, GGA-PBE.

Results
The uncorrected formation energy comes out at 1.590 eV per atom. The calculation puts the offset from the most stable computed form at 1322 meV per atom.

a = 4.891 Å, b = 4.891 Å, c = 4.808 Å
α = 90.00°, β = 90.00°, γ = 90.00°
Space group P4/mmm (No. 123)
Symmetry-distinct sites (fractional):
Ta 0.000 0.000 0.000
Te 0.500 0.500 0.500
P 0.000 0.500 0.500
S 0.500 0.500 0.000

---

# 5
Tl2SiW: relaxed, GGA-PBE.

Results
The uncorrected formation energy comes out at 1.054 eV per atom. The calculation puts the offset from the most stable computed form at 595 meV per atom.

a = 6.422 Å, b = 8.685 Å, c = 2.924 Å
α = 90.00°, β = 90.00°, γ = 90.00°
Space group Cmmm (No. 65)
Symmetry-distinct sites (fractional):
Tl 0.250 0.250 0.000
Si 0.000 0.000 0.500
W 0.000 0.500 0.500

---

# 6
PrCu4Pt4: relaxed, GGA-PBE.

Results
As for the formation energy: -0.18 eV per atom.

a = 8.237 Å, b = 8.237 Å, c = 4.596 Å
α = 90.00°, β = 90.00°, γ = 90.00°
Space group P4_2/n (No. 86, origin choice 2)
Symmetry-distinct sites (fractional):
Pr 0.250 0.250 0.250
Cu 0.001 0.110 0.743
Pt 0.113 0.832 0.758